CdFeHgF6: relaxed, PBE+U.

The value obtained for the energy is -72.54 eV/cell.

The space group is P4_2nm (No. 102) and the conventional cell measures 5.097, 5.097 and 10.630 Å, with angles of 90.00, 90.00 and 90.00 degrees. The inequivalent atoms are Cd at (0.000, 0.000, 0.000), Fe at (0.000, 0.000, 0.335), Hg at (0.000, 0.000, 0.668), F at (0.183, 0.183, 0.177), F at (0.191, 0.191, 0.487) and F at (0.214, 0.214, 0.840).